1.
This record from Alexandria via LeMat-Bulk describes a geometry-optimized Sc2BeSiSe structure. The functional is PBE-GGA.

Structure (CIF):
```
data_Sc2BeSiSe
_cell_length_a 4.913
_cell_length_b 4.913
_cell_length_c 3.983
_cell_angle_alpha 90.00
_cell_angle_beta 90.00
_cell_angle_gamma 90.00
_symmetry_space_group_name_H-M 'P 4/m m m'
_symmetry_Int_Tables_number 123
_symmetry_space_group_name_Hall '-P 4 2'
loop_
_atom_site_label
_atom_site_type_symbol
_atom_site_fract_x
_atom_site_fract_y
_atom_site_fract_z
_atom_site_occupancy
Sc1 Sc 0.000 0.500 0.000 1
Be1 Be 0.000 0.000 0.000 1
Si1 Si 0.500 0.500 0.500 1
Se1 Se 0.000 0.000 0.500 1
```

Computed properties:
Electronic total energy: -24.90 eV per cell
Volume: 96.1 Å³/cell
Uncorrected formation energy: 79 meV/atom

=====

2.
This record from Alexandria via LeMat-Bulk describes a geometry-optimized DyEr5Cd6 structure. The functional is PBE-GGA.

Structure (CIF):
```
data_DyEr5Cd6
_cell_length_a 5.247
_cell_length_b 7.445
_cell_length_c 8.310
_cell_angle_alpha 90.00
_cell_angle_beta 108.22
_cell_angle_gamma 90.00
_symmetry_space_group_name_H-M 'P 1 2/m 1'
_symmetry_Int_Tables_number 10
loop_
_symmetry_equiv_pos_as_xyz
'x,y,z'
'-x,-y,-z'
'-x,y,-z'
'x,-y,z'
loop_
_atom_site_label
_atom_site_type_symbol
_atom_site_fract_x
_atom_site_fract_y
_atom_site_fract_z
_atom_site_occupancy
Dy1 Dy 0.000 0.000 0.000 1
Er1 Er 0.000 0.500 0.000 1
Er2 Er 0.333 0.000 0.666 1
Er3 Er 0.334 0.500 0.668 1
Cd1 Cd 0.167 0.251 0.334 1
Cd2 Cd 0.500 0.251 0.000 1
```

Computed properties:
Electronic total energy: -36.71 eV per cell
Formation enthalpy at 0 K: -317.2 meV per atom
Volume: 308.4 Å³/cell

=====

3.
This record from Alexandria via LeMat-Bulk describes a geometry-optimized NiBiSe structure. The functional is PBE-GGA.

Structure (CIF):
```
data_NiBiSe
_cell_length_a 5.608
_cell_length_b 3.743
_cell_length_c 6.272
_cell_angle_alpha 90.00
_cell_angle_beta 92.11
_cell_angle_gamma 90.00
_symmetry_space_group_name_H-M 'P 1 21/m 1'
_symmetry_Int_Tables_number 11
loop_
_symmetry_equiv_pos_as_xyz
'x,y,z'
'-x,-y,-z'
'-x,y+1/2,-z'
'x,-y+1/2,z'
loop_
_atom_site_label
_atom_site_type_symbol
_atom_site_fract_x
_atom_site_fract_y
_atom_site_fract_z
_atom_site_occupancy
Ni1 Ni 0.014 0.250 0.197 1
Bi1 Bi 0.237 0.250 0.595 1
Se1 Se 0.256 0.750 0.107 1
```

Computed properties:
Electronic total energy: -27.47 eV per cell
Volume: 131.6 Å³/cell
Uncorrected formation energy: -196 meV/atom

=====

4.
This record from Alexandria via LeMat-Bulk describes a geometry-optimized SrBe2Cl structure. The functional is PBE-GGA.

Structure (CIF):
```
data_SrBe2Cl
_cell_length_a 3.886
_cell_length_b 3.886
_cell_length_c 6.147
_cell_angle_alpha 90.00
_cell_angle_beta 90.00
_cell_angle_gamma 90.00
_symmetry_space_group_name_H-M 'P 4/m m m'
_symmetry_Int_Tables_number 123
_symmetry_space_group_name_Hall '-P 4 2'
loop_
_atom_site_label
_atom_site_type_symbol
_atom_site_fract_x
_atom_site_fract_y
_atom_site_fract_z
_atom_site_occupancy
Sr1 Sr 0.000 0.000 0.000 1
Be1 Be 0.000 0.500 0.500 1
Cl1 Cl 0.500 0.500 0.000 1
```

Computed properties:
Electronic total energy: -10.32 eV per cell
Volume: 92.8 Å³/cell
Offset from the most stable computed form: 328 meV/atom
Uncorrected formation energy: 166 meV/atom

=====

5.
This record from Alexandria via LeMat-Bulk describes a geometry-optimized LaTbBi2 structure. The functional is PBE-GGA.

Structure (CIF):
```
data_LaTbBi2
_cell_length_a 4.5740
_cell_length_b 4.5740
_cell_length_c 15.2122
_cell_angle_alpha 90.00
_cell_angle_beta 90.00
_cell_angle_gamma 120.00
_symmetry_space_group_name_H-M 'P 63/m m c'
_symmetry_Int_Tables_number 194
_symmetry_space_group_name_Hall '-P 6c 2c'
loop_
_atom_site_label
_atom_site_type_symbol
_atom_site_fract_x
_atom_site_fract_y
_atom_site_fract_z
_atom_site_occupancy
La1 La 0.3333 0.6667 0.2500 1
Tb1 Tb 0.0000 0.0000 0.0000 1
Bi1 Bi 0.3333 0.6667 0.6172 1
```

Computed properties:
Electronic total energy: -42.02 eV per cell
Formation enthalpy at 0 K: -922.1 meV per atom
Volume: 275.6 Å³/cell
Offset from the most stable computed form: 44 meV/atom

=====

6.
This record from Alexandria via LeMat-Bulk describes a geometry-optimized CaOsS2 structure. The functional is PBE-GGA.

Structure (CIF):
```
data_CaOsS2
_cell_length_a 5.531
_cell_length_b 5.531
_cell_length_c 12.089
_cell_angle_alpha 90.00
_cell_angle_beta 90.00
_cell_angle_gamma 90.00
_symmetry_space_group_name_H-M 'I -4 2 d'
_symmetry_Int_Tables_number 122
_symmetry_space_group_name_Hall 'I -4 2bw'
loop_
_atom_site_label
_atom_site_type_symbol
_atom_site_fract_x
_atom_site_fract_y
_atom_site_fract_z
_atom_site_occupancy
Ca1 Ca 0.000 0.000 0.000 1
Os1 Os 0.000 0.000 0.500 1
S1 S 0.178 0.250 0.625 1
```

Computed properties:
Electronic total energy: -95.15 eV per cell
Volume: 369.8 Å³/cell
Offset from the most stable computed form: 0 meV/atom
Uncorrected formation energy: -575 meV/atom

=====

7.
This record from Alexandria via LeMat-Bulk describes a geometry-optimized LaHgW structure. The functional is PBE-GGA.

Structure (CIF):
```
data_LaHgW
_cell_length_a 5.1562
_cell_length_b 5.1562
_cell_length_c 3.0127
_cell_angle_alpha 90.00
_cell_angle_beta 90.00
_cell_angle_gamma 120.00
_symmetry_space_group_name_H-M 'P -6 m 2'
_symmetry_Int_Tables_number 187
_symmetry_space_group_name_Hall 'P -6 2'
loop_
_atom_site_label
_atom_site_type_symbol
_atom_site_fract_x
_atom_site_fract_y
_atom_site_fract_z
_atom_site_occupancy
La1 La 0.0000 0.0000 0.0000 1
Hg1 Hg 0.6667 0.3333 0.5000 1
W1 W 0.3333 0.6667 0.5000 1
```

Computed properties:
Electronic total energy: -16.24 eV per cell
Formation enthalpy at 0 K: 646.8 meV per atom
Volume: 69.4 Å³/cell
Offset from the most stable computed form: 82 meV/atom

=====

8.
This record from Alexandria via LeMat-Bulk describes a geometry-optimized AcNdSi2Pt5 structure. The functional is PBE-GGA.

Structure (CIF):
```
data_AcNdSi2Pt5
_cell_length_a 4.368
_cell_length_b 4.368
_cell_length_c 9.046
_cell_angle_alpha 90.00
_cell_angle_beta 90.00
_cell_angle_gamma 90.00
_symmetry_space_group_name_H-M 'P 4/m m m'
_symmetry_Int_Tables_number 123
_symmetry_space_group_name_Hall '-P 4 2'
loop_
_atom_site_label
_atom_site_type_symbol
_atom_site_fract_x
_atom_site_fract_y
_atom_site_fract_z
_atom_site_occupancy
Ac1 Ac 0.000 0.000 0.000 1
Nd1 Nd 0.000 0.000 0.500 1
Si1 Si 0.500 0.500 0.365 1
Pt1 Pt 0.000 0.500 0.246 1
Pt2 Pt 0.500 0.500 0.000 1
```

Computed properties:
Electronic total energy: -58.75 eV per cell
Volume: 172.6 Å³/cell
Uncorrected formation energy: -980 meV/atom

=====

9.
This record from Alexandria via LeMat-Bulk describes a geometry-optimized Mg2TlTe structure. The functional is PBE-GGA.

Structure (CIF):
```
data_Mg2TlTe
_cell_length_a 7.460
_cell_length_b 7.460
_cell_length_c 7.460
_cell_angle_alpha 90.00
_cell_angle_beta 90.00
_cell_angle_gamma 90.00
_symmetry_space_group_name_H-M 'F m -3 m'
_symmetry_Int_Tables_number 225
_symmetry_space_group_name_Hall '-F 4 2 3'
loop_
_atom_site_label
_atom_site_type_symbol
_atom_site_fract_x
_atom_site_fract_y
_atom_site_fract_z
_atom_site_occupancy
Mg1 Mg 0.250 0.250 0.250 1
Tl1 Tl 0.000 0.000 0.000 1
Te1 Te 0.000 0.000 0.500 1
```

Computed properties:
Electronic total energy: -36.20 eV per cell
Volume: 415.2 Å³/cell
Offset from the most stable computed form: 195 meV/atom
Uncorrected formation energy: -88 meV/atom

=====

10.
This record from Alexandria via LeMat-Bulk describes a geometry-optimized RbBe2H2 structure. The functional is PBE-GGA.

Structure (CIF):
```
data_RbBe2H2
_cell_length_a 3.853
_cell_length_b 6.479
_cell_length_c 6.890
_cell_angle_alpha 103.45
_cell_angle_beta 102.99
_cell_angle_gamma 92.14
_symmetry_space_group_name_H-M 'P 1'
_symmetry_Int_Tables_number 1
loop_
_symmetry_equiv_pos_as_xyz
'x,y,z'
loop_
_atom_site_label
_atom_site_type_symbol
_atom_site_fract_x
_atom_site_fract_y
_atom_site_fract_z
_atom_site_occupancy
Rb1 Rb 0.000 0.000 0.000 1
Rb2 Rb 0.106 0.619 0.380 1
Be1 Be 0.247 0.221 0.619 1
Be2 Be 0.375 0.469 0.872 1
Be3 Be 0.746 0.108 0.484 1
Be4 Be 0.808 0.391 0.768 1
H1 H 0.027 0.206 0.406 1
H2 H 0.038 0.019 0.613 1
H3 H 0.565 0.937 0.317 1
H4 H 0.601 0.597 0.781 1
```

Computed properties:
Electronic total energy: -29.24 eV per cell
Volume: 162.3 Å³/cell
Offset from the most stable computed form: 95 meV/atom

=====

11.
This record from Alexandria via LeMat-Bulk describes a geometry-optimized PuSiRu2 structure. The functional is PBE-GGA.

Structure (CIF):
```
data_PuSiRu2
_cell_length_a 3.003
_cell_length_b 3.003
_cell_length_c 6.942
_cell_angle_alpha 90.00
_cell_angle_beta 90.00
_cell_angle_gamma 90.00
_symmetry_space_group_name_H-M 'P 4/m m m'
_symmetry_Int_Tables_number 123
_symmetry_space_group_name_Hall '-P 4 2'
loop_
_atom_site_label
_atom_site_type_symbol
_atom_site_fract_x
_atom_site_fract_y
_atom_site_fract_z
_atom_site_occupancy
Pu1 Pu 0.000 0.000 0.000 1
Si1 Si 0.000 0.000 0.500 1
Ru1 Ru 0.500 0.500 0.300 1
```

Computed properties:
Electronic total energy: -39.61 eV per cell
Volume: 62.6 Å³/cell
Uncorrected formation energy: -325 meV/atom

=====

12.
This record from Alexandria via LeMat-Bulk describes a geometry-optimized BeSeBr2 structure. The functional is PBE-GGA.

Structure (CIF):
```
data_BeSeBr2
_cell_length_a 3.664
_cell_length_b 3.927
_cell_length_c 6.831
_cell_angle_alpha 90.00
_cell_angle_beta 90.00
_cell_angle_gamma 90.00
_symmetry_space_group_name_H-M 'P m m m'
_symmetry_Int_Tables_number 47
loop_
_symmetry_equiv_pos_as_xyz
'x,y,z'
'-x,-y,-z'
'-x,-y,z'
'x,y,-z'
'x,-y,-z'
'-x,y,z'
'-x,y,-z'
'x,-y,z'
loop_
_atom_site_label
_atom_site_type_symbol
_atom_site_fract_x
_atom_site_fract_y
_atom_site_fract_z
_atom_site_occupancy
Be1 Be 0.000 0.000 0.000 1
Se1 Se 0.500 0.000 0.500 1
Br1 Br 0.000 0.500 0.500 1
Br2 Br 0.500 0.500 0.000 1
```

Computed properties:
Electronic total energy: -8.79 eV per cell
Volume: 98.3 Å³/cell
Offset from the most stable computed form: 884 meV/atom
Uncorrected formation energy: 442 meV/atom

=====

13.
This record from Alexandria via LeMat-Bulk describes a geometry-optimized HgRuW2 structure. The functional is PBE-GGA.

Structure (CIF):
```
data_HgRuW2
_cell_length_a 9.686
_cell_length_b 2.969
_cell_length_c 4.719
_cell_angle_alpha 90.00
_cell_angle_beta 102.59
_cell_angle_gamma 90.00
_symmetry_space_group_name_H-M 'C 1 2/m 1'
_symmetry_Int_Tables_number 12
loop_
_symmetry_equiv_pos_as_xyz
'x,y,z'
'-x,-y,-z'
'-x,y,-z'
'x,-y,z'
'x+1/2,y+1/2,z'
'-x+1/2,-y+1/2,-z'
'-x+1/2,y+1/2,-z'
'x+1/2,-y+1/2,z'
loop_
_atom_site_label
_atom_site_type_symbol
_atom_site_fract_x
_atom_site_fract_y
_atom_site_fract_z
_atom_site_occupancy
Hg1 Hg 0.000 0.000 0.000 1
Ru1 Ru 0.000 0.500 0.500 1
W1 W 0.241 0.000 0.726 1
```

Computed properties:
Electronic total energy: -66.74 eV per cell
Formation enthalpy at 0 K: 528.7 meV per atom
Volume: 132.5 Å³/cell
Offset from the most stable computed form: 116 meV/atom